The following is a DFT calculation (PBE-GGA) of a geometry-optimized ErGa2Co2P structure.

Structure (POSCAR):
```
ErGa2Co2P
1.0
-2.966 -2.110 2.131
2.212 -3.563 -0.449
2.581 1.023 4.603
P Ga Co Er
1 2 2 1
Direct
0.000 0.000 0.000
0.500 0.500 0.265
0.500 0.500 0.735
0.500 0.000 0.000
0.000 0.500 0.000
0.000 0.000 0.500
```

Computed properties:
The value obtained for the calculated formation energy is -0.466 eV/atom. The space group is P4/mmm. The total energy is -33.032 eV/f.u. For the density of states at the Fermi level, the calculation gives 6.526 states/eV per cell.


The following is a DFT calculation (PBE-GGA) of a geometry-optimized Ta5Ga2Sn structure.

Structure (POSCAR):
```
Ta5Ga2Sn
1.0
-4.766 -3.877 2.976
3.099 -5.612 -2.348
4.203 4.488 4.746
Sn Ta Ga
2 10 4
Direct
0.750 0.750 0.500
0.250 0.250 0.500
0.489 0.310 0.300
0.500 0.500 0.000
0.810 0.989 0.300
0.310 0.810 0.300
0.989 0.489 0.300
0.011 0.511 0.700
0.511 0.690 0.700
0.000 0.000 0.000
0.690 0.190 0.700
0.190 0.011 0.700
0.635 0.135 0.000
0.135 0.365 0.000
0.865 0.635 0.000
0.365 0.865 0.000
```

Computed properties:
The value obtained for the calculated formation energy is -0.176 eV/atom. The space group is I4/mcm. The total energy is -70.730 eV/f.u. The polymorph energy (0 for the lowest one) is 2.0 kJ/mol of formula units. For the density of states at the Fermi level, the calculation gives 7.384 states/eV per cell.


The following is a DFT calculation (PBE-GGA) of a geometry-optimized K2Tl3HgPd4 structure.

Structure (POSCAR):
```
K2Tl3HgPd4
1.0
4.765 0.000 0.000
0.000 4.765 0.000
0.000 0.000 11.285
Pd Tl K Hg
4 3 2 1
Direct
0.500 0.000 0.631
0.500 0.500 0.000
0.000 0.000 0.000
0.000 0.500 0.369
0.000 0.000 0.500
0.000 0.500 0.127
0.500 0.000 0.873
0.500 0.000 0.246
0.000 0.500 0.754
0.500 0.500 0.500
```

Computed properties:
The value obtained for the calculated formation energy is -0.163 eV/atom. The space group is P-4m2. The total energy is -31.993 eV/f.u. For the density of states at the Fermi level, the calculation gives 3.442 states/eV per cell.